No. 1
A relaxed structure of Li2MnSb. Source: Alexandria, functional GGA-PBEsol.

Geometry as CIF:
```
data_Li2MnSb
_cell_length_a 3.0299
_cell_length_b 4.2360
_cell_length_c 5.4571
_cell_angle_alpha 90.00
_cell_angle_beta 90.00
_cell_angle_gamma 90.00
_symmetry_space_group_name_H-M 'P m m m'
_symmetry_Int_Tables_number 47
_symmetry_space_group_name_Hall '-P 2 2'
loop_
_atom_site_label
_atom_site_type_symbol
_atom_site_fract_x
_atom_site_fract_y
_atom_site_fract_z
Li1 Li 0.0000 0.0000 0.2497
Mn1 Mn 0.5000 0.5000 0.0000
Sb1 Sb 0.5000 0.5000 0.5000
```

Properties
Size of the total moment (μB per cell): 3.9
DOS(E_F) (states/eV/f.u.): 2.17
Formation energy from raw total energies (eV per atom): 0.03



No. 2
A relaxed structure of LiMnSb2. Source: Alexandria, functional GGA-PBEsol.

Geometry as CIF:
```
data_LiMnSb2
_cell_length_a 3.7544
_cell_length_b 3.7544
_cell_length_c 5.4866
_cell_angle_alpha 90.00
_cell_angle_beta 90.00
_cell_angle_gamma 90.00
_symmetry_space_group_name_H-M 'P 4 m m'
_symmetry_Int_Tables_number 99
_symmetry_space_group_name_Hall 'P 4 -2'
loop_
_atom_site_label
_atom_site_type_symbol
_atom_site_fract_x
_atom_site_fract_y
_atom_site_fract_z
Li1 Li 0.0000 0.0000 0.0000
Mn1 Mn 0.5000 0.5000 0.3306
Sb1 Sb 0.0000 0.0000 0.4800
Sb2 Sb 0.5000 0.5000 0.8398
```

Properties
Size of the total moment (μB per cell): 3.2
Energy relative to the lowest polymorph listed for this composition (eV per atom): 0.132
DOS(E_F) (states/eV/f.u.): 2.07
Formation energy from raw total energies (eV per atom): 0.01



No. 3
A relaxed structure of LiMnSb2. Source: Alexandria, functional GGA-PBEsol.

Geometry as CIF:
```
data_LiMnSb2
_cell_length_a 6.4844
_cell_length_b 7.8164
_cell_length_c 3.1224
_cell_angle_alpha 90.00
_cell_angle_beta 96.55
_cell_angle_gamma 90.00
_symmetry_space_group_name_H-M 'C 1 2/m 1'
_symmetry_Int_Tables_number 12
_symmetry_space_group_name_Hall '-C 2y'
loop_
_atom_site_label
_atom_site_type_symbol
_atom_site_fract_x
_atom_site_fract_y
_atom_site_fract_z
Li1 Li 0.0000 0.0000 0.0000
Mn1 Mn 0.0000 0.5000 0.0000
Sb1 Sb 0.2500 0.2500 0.5000
```

Properties
Size of the total moment (μB per cell): 7.4
Energy relative to the lowest polymorph listed for this composition (eV per atom): 0.132
DOS(E_F) (states/eV/f.u.): 1.77
Formation energy from raw total energies (eV per atom): 0.01



No. 4
A relaxed structure of LiMn2Sb. Source: Alexandria, functional GGA-PBEsol.

Geometry as CIF:
```
data_LiMn2Sb
_cell_length_a 6.0074
_cell_length_b 6.0074
_cell_length_c 6.0074
_cell_angle_alpha 90.00
_cell_angle_beta 90.00
_cell_angle_gamma 90.00
_symmetry_space_group_name_H-M 'F -4 3 m'
_symmetry_Int_Tables_number 216
_symmetry_space_group_name_Hall 'F -4 2 3'
loop_
_atom_site_label
_atom_site_type_symbol
_atom_site_fract_x
_atom_site_fract_y
_atom_site_fract_z
Li1 Li 0.0000 0.0000 0.0000
Mn1 Mn 0.0000 0.0000 0.5000
Mn2 Mn 0.2500 0.2500 0.2500
Sb1 Sb 0.2500 0.2500 0.7500
```

Properties
Size of the total moment (μB per cell): 8.0
DOS(E_F) (states/eV/f.u.): 3.74
Formation energy from raw total energies (eV per atom): 0.01



No. 5
A relaxed structure of LiMn2Sb. Source: Alexandria, functional GGA-PBEsol.

Geometry as CIF:
```
data_LiMn2Sb
_cell_length_a 3.8374
_cell_length_b 3.8374
_cell_length_c 3.9091
_cell_angle_alpha 90.00
_cell_angle_beta 90.00
_cell_angle_gamma 90.00
_symmetry_space_group_name_H-M 'P 4/m m m'
_symmetry_Int_Tables_number 123
_symmetry_space_group_name_Hall '-P 4 2'
loop_
_atom_site_label
_atom_site_type_symbol
_atom_site_fract_x
_atom_site_fract_y
_atom_site_fract_z
Li1 Li 0.0000 0.0000 0.0000
Mn1 Mn 0.0000 0.5000 0.5000
Sb1 Sb 0.5000 0.5000 0.0000
```

Properties
Size of the total moment (μB per cell): 5.6
DOS(E_F) (states/eV/f.u.): 2.69
Formation energy from raw total energies (eV per atom): 0.12



No. 6
A relaxed structure of LiMnSb2. Source: Alexandria, functional GGA-PBEsol.

Geometry as CIF:
```
data_LiMnSb2
_cell_length_a 3.9995
_cell_length_b 3.9995
_cell_length_c 9.7926
_cell_angle_alpha 90.00
_cell_angle_beta 90.00
_cell_angle_gamma 90.00
_symmetry_space_group_name_H-M 'I -4 m 2'
_symmetry_Int_Tables_number 119
_symmetry_space_group_name_Hall 'I -4 -2'
loop_
_atom_site_label
_atom_site_type_symbol
_atom_site_fract_x
_atom_site_fract_y
_atom_site_fract_z
Li1 Li 0.0000 0.0000 0.0000
Mn1 Mn 0.0000 0.5000 0.7500
Sb1 Sb 0.0000 0.0000 0.5000
Sb2 Sb 0.0000 0.5000 0.2500
```

Properties
Size of the total moment (μB per cell): 7.5
Energy relative to the lowest polymorph listed for this composition (eV per atom): 0.125
DOS(E_F) (states/eV/f.u.): 1.96
Formation energy from raw total energies (eV per atom): 0.00



The lowest formation energy from raw total energies belongs to which entry? number 6